No. 1
Material: Pm4HPt
Method: DFT, PBE
State: optimized geometry

Calculated values
- crystal system = monoclinic
- energy (eV/atom) = -5.21
- symmetry = P2_1/m

abc: 5.870 7.775 8.822
angles: 90.00 90.00 125.83
Element x y z (fractional)
Pm (0.548, 0.719, 0.750)
Pm (0.452, 0.281, 0.250)
Pm (0.355, 0.148, 0.750)
Pm (0.645, 0.852, 0.250)
Pm (0.067, 0.758, 0.035)
Pm (0.933, 0.242, 0.535)
Pm (0.067, 0.758, 0.465)
Pm (0.933, 0.242, 0.965)
H (0.915, 0.065, 0.750)
H (0.085, 0.935, 0.250)
Pt (0.932, 0.539, 0.750)
Pt (0.068, 0.461, 0.250)

=====

No. 2
Material: CaYBe2
Method: DFT, PBE
State: optimized geometry

Calculated values
- crystal system = trigonal
- energy relative to the lowest polymorph listed for this composition (eV per atom) = 0.364
- symmetry = R-3m
- calculated formation energy (eV per atom) = 0.56

abc: 8.156 8.156 8.156
angles: 26.67 26.67 26.67
Element x y z (fractional)
Y (0.750, 0.750, 0.750)
Be (0.005, 0.005, 0.005)
Be (0.495, 0.495, 0.495)
Ca (0.250, 0.250, 0.250)

=====

No. 3
Material: SiHg2Ru
Method: DFT, PBE
State: optimized geometry

Calculated values
- ΔE_f (raw) (kJ/mol of formula units) = 66.8
- crystal system = orthorhombic
- symmetry = Immm

abc: 7.713 7.713 7.713
angles: 157.59 152.43 35.82
Element x y z (fractional)
Hg (0.073, 0.073, 0.000)
Hg (0.427, 0.427, 0.000)
Ru (0.750, 0.250, 0.500)
Si (0.250, 0.750, 0.500)

=====

No. 4
Material: CdIr
Method: DFT, PBE
State: optimized geometry

Calculated values
- crystal system = hexagonal
- symmetry = P6_3/mmc
- calculated formation energy (eV per atom) = 1.34

abc: 4.622 4.622 5.362
angles: 90.00 90.00 120.00
Each line ends with the local moment (μB).
Element x y z (fractional)
Cd (0.333, 0.667, 0.250)  -0.01
Cd (0.667, 0.333, 0.750)  -0.01
Ir (0.333, 0.667, 0.750)  0.46
Ir (0.667, 0.333, 0.250)  0.46

=====

No. 5
Material: CuHgP2S
Method: DFT, PBE
State: optimized geometry

Calculated values
- ΔE_f (raw) (kJ/mol of formula units) = 381.5
- crystal system = tetragonal
- energy relative to the lowest polymorph listed for this composition (eV per atom) = 0.000
- symmetry = P4/mmm

abc: 4.549 4.549 4.706
angles: 90.00 90.00 90.00
Each line ends with the local moment (μB).
Element x y z (fractional)
P (0.000, 0.500, 0.000)  0.12
P (0.500, 0.000, 0.000)  0.12
S (0.000, 0.000, 0.500)  0.05
Hg (0.500, 0.500, 0.500)  0.01
Cu (0.000, 0.000, 0.000)  0.01

=====

No. 6
Material: Np2Ni12B7
Method: DFT, PBE
State: optimized geometry

Calculated values
- crystal system = hexagonal
- symmetry = P-6
- calculated formation energy (eV per atom) = -0.24

abc: 3.284 8.703 8.703
angles: 120.00 90.00 90.00
Each line ends with the local moment (μB).
Element x y z (fractional)
Np (0.500, 0.000, 0.000)  2.99
Np (0.000, 0.667, 0.333)  3.18
Ni (0.500, 0.901, 0.620)  -0.03
Ni (0.500, 0.719, 0.099)  -0.03
Ni (0.500, 0.380, 0.281)  -0.03
Ni (0.500, 0.233, 0.798)  0.03
Ni (0.500, 0.566, 0.767)  0.03
Ni (0.500, 0.202, 0.434)  0.03
Ni (0.000, 0.067, 0.552)  0.03
Ni (0.000, 0.485, 0.933)  0.03
Ni (0.000, 0.448, 0.515)  0.03
Ni (0.000, 0.765, 0.722)  -0.03
Ni (0.000, 0.957, 0.235)  -0.03
Ni (0.000, 0.278, 0.043)  -0.03
B (0.000, 0.333, 0.667)  -0.01
B (0.000, 0.051, 0.780)  -0.01
B (0.000, 0.729, 0.949)  -0.01
B (0.000, 0.220, 0.271)  -0.01
B (0.500, 0.617, 0.557)  -0.01
B (0.500, 0.940, 0.383)  -0.01
B (0.500, 0.443, 0.060)  -0.01

=====

No. 7
Material: MgNbAlSi2
Method: DFT, PBE
State: optimized geometry

Calculated values
- ΔE_f (raw) (kJ/mol of formula units) = 454.2
- crystal system = tetragonal
- symmetry = P4/mmm

abc: 4.660 4.828 4.660
angles: 90.00 90.00 90.00
Element x y z (fractional)
Mg (0.500, 0.500, 0.500)
Nb (0.000, 0.500, 0.000)
Si (0.000, 0.000, 0.500)
Si (0.500, 0.000, 0.000)
Al (0.000, 0.000, 0.000)

=====

No. 8
Material: YMoPb2
Method: DFT, PBE
State: optimized geometry

Calculated values
- crystal system = tetragonal
- energy relative to the lowest polymorph listed for this composition (eV per atom) = 0.360
- symmetry = I-42d
- calculated formation energy (eV per atom) = 0.56

abc: 4.445 4.445 11.173
angles: 78.53 78.53 90.00
Each line ends with the local moment (μB).
Element x y z (fractional)
Pb (0.640, 0.125, 0.250)  -0.02
Pb (0.110, 0.625, 0.250)  -0.01
Pb (0.375, 0.360, 0.750)  -0.01
Pb (0.875, 0.890, 0.750)  -0.01
Y (0.500, 0.500, 0.000)  -0.03
Y (0.250, 0.750, 0.500)  -0.03
Mo (0.000, 0.000, 0.000)  0.77
Mo (0.750, 0.250, 0.500)  0.77

=====

No. 9
Material: Ca4SnPt2
Method: DFT, PBE
State: optimized geometry

Calculated values
- crystal system = trigonal
- symmetry = R-3m
- calculated formation energy (eV per atom) = -0.71

abc: 4.978 4.978 9.789
angles: 75.27 75.27 60.00
Element x y z (fractional)
Ca (0.385, 0.385, 0.844)
Ca (0.203, 0.203, 0.390)
Ca (0.797, 0.797, 0.610)
Ca (0.615, 0.615, 0.156)
Sn (0.000, 0.000, 0.000)
Pt (0.096, 0.096, 0.712)
Pt (0.904, 0.904, 0.288)

=====

No. 10
Material: TlAgSn
Method: DFT, PBE
State: optimized geometry

Calculated values
- crystal system = cubic
- energy relative to the lowest polymorph listed for this composition (eV per atom) = 0.066
- symmetry = F-43m
- calculated formation energy (eV per atom) = 0.10

abc: 4.843 4.843 4.843
angles: 60.00 60.00 60.00
Element x y z (fractional)
Tl (0.000, 0.000, 0.000)
Sn (0.500, 0.500, 0.500)
Ag (0.250, 0.250, 0.250)

=====

The total moment results, record by record, are as follows: 0.0, 0.0, 0.0, 0.9, 0.6, 6.3, 0.0, 1.6, 0.0, 0.0 μB/cell.